A geometry-optimized SrPaCuS4 structure, computed with PBE-GGA.

Unit cell a=6.308 b=6.381 c=8.120 alpha=90.00 beta=107.76 gamma=90.00
Fractional coordinates of all 14 atoms:
Sr 0.244 0.250 0.055
Sr 0.756 0.750 0.945
Pa 0.235 0.250 0.558
Pa 0.765 0.750 0.442
Cu 0.231 0.750 0.327
Cu 0.769 0.250 0.673
S 0.024 0.514 0.720
S 0.024 0.986 0.720
S 0.436 0.750 0.142
S 0.458 0.750 0.600
S 0.542 0.250 0.400
S 0.564 0.250 0.858
S 0.976 0.014 0.280
S 0.976 0.486 0.280

Summary:
Electronic total energy = -5.98 eV per atom
Magnetic moment = 0.0 μB/f.u.
Energy relative to the elements, uncorrected = -1435 meV/atom
Crystal system = monoclinic
Symmetry = P2_1/m (11)


A geometry-optimized LaSb2Te2 structure, computed with PBE-GGA.

Unit cell a=8.475 b=8.475 c=4.419 alpha=90.00 beta=90.00 gamma=90.00
Fractional coordinates of all 10 atoms:
La 0.000 0.000 0.000
La 0.500 0.500 0.000
Sb 0.185 0.315 0.500
Sb 0.315 0.815 0.500
Sb 0.685 0.185 0.500
Sb 0.815 0.685 0.500
Te 0.147 0.647 0.000
Te 0.353 0.147 0.000
Te 0.647 0.853 0.000
Te 0.853 0.353 0.000

Summary:
Offset from the most stable computed form = 0.19 eV/f.u.
Electronic total energy = -4.38 eV per atom
Magnetic moment = 0.0 μB/f.u.
Energy relative to the elements, uncorrected = -487 meV/atom
Crystal system = tetragonal
Symmetry = P4/mbm (127)


A geometry-optimized YMo2Rh structure, computed with PBE-GGA.

Unit cell a=2.946 b=4.223 c=6.011 alpha=90.00 beta=103.56 gamma=90.00
Fractional coordinates of all 4 atoms:
Y 0.000 0.000 0.000
Mo 0.556 0.000 0.499
Mo 0.717 0.500 0.301
Rh 0.307 0.500 0.736

Summary:
Offset from the most stable computed form = 0.54 eV/f.u.
Electronic total energy = -8.77 eV per atom
Magnetic moment = 0.0 μB/f.u.
Crystal system = monoclinic
ΔE_f = 0.1008 eV per atom
Symmetry = Pm (6)


A geometry-optimized OsRuN structure, computed with PBE-GGA.

Unit cell a=5.835 b=5.835 c=4.812 alpha=104.82 beta=104.82 gamma=27.42
Fractional coordinates of all 6 atoms:
Os 0.000 0.000 0.000
Os 0.215 0.215 0.859
Ru 0.525 0.525 0.531
Ru 0.728 0.728 0.333
N 0.825 0.825 0.761
N 0.909 0.909 0.317

Summary:
Offset from the most stable computed form = 0.29 eV/f.u.
Electronic total energy = -9.16 eV per atom
Magnetic moment = 0.0 μB/f.u.
Energy relative to the elements, uncorrected = 448 meV/atom
Crystal system = monoclinic
Symmetry = Cm (8)


A geometry-optimized IrRuAu2 structure, computed with PBE-GGA.

Unit cell a=4.030 b=4.030 c=3.937 alpha=90.00 beta=90.00 gamma=90.00
Fractional coordinates of all 4 atoms:
Ir 0.000 0.000 0.000
Ru 0.500 0.500 0.000
Au 0.000 0.500 0.500
Au 0.500 0.000 0.500

Summary:
Offset from the most stable computed form = 1.44 eV/f.u.
Electronic total energy = -5.65 eV per atom
Magnetic moment = 0.0 μB/f.u.
Crystal system = tetragonal
ΔE_f = 0.5253 eV per atom
Symmetry = P4/mmm (123)


A geometry-optimized CeHoNiIr structure, computed with PBE-GGA.

Unit cell a=4.442 b=5.385 c=5.385 alpha=40.24 beta=90.00 gamma=90.00
Fractional coordinates of all 4 atoms:
Ce 0.000 0.000 0.000
Ho 0.500 0.722 0.722
Ni 0.500 0.442 0.442
Ir 0.000 0.277 0.277

Summary:
Offset from the most stable computed form = 0.00 eV/f.u.
Electronic total energy = -6.92 eV per atom
Magnetic moment = 0.0 μB/f.u.
Crystal system = orthorhombic
ΔE_f = -0.6292 eV per atom
Symmetry = Amm2 (38)


A geometry-optimized Mg2Zn structure, computed with PBE-GGA.

Unit cell a=3.100 b=3.100 c=14.475 alpha=90.00 beta=90.00 gamma=120.00
Fractional coordinates of all 6 atoms:
Mg 0.000 0.000 0.000
Mg 0.000 0.000 0.316
Mg 0.000 0.000 0.684
Mg 0.333 0.667 0.500
Zn 0.333 0.667 0.158
Zn 0.333 0.667 0.842

Summary:
Electronic total energy = -1.49 eV per atom
Magnetic moment = 0.0 μB/f.u.
Crystal system = hexagonal
ΔE_f = 0.0016 eV per atom
Symmetry = P-6m2 (187)


A geometry-optimized Pr2Sm8Tm structure, computed with PBE-GGA.

Unit cell a=9.601 b=9.601 c=8.124 alpha=104.74 beta=104.74 gamma=31.02
Fractional coordinates of all 11 atoms:
Pr 0.227 0.227 0.137
Pr 0.773 0.773 0.863
Sm 0.045 0.045 0.229
Sm 0.135 0.135 0.678
Sm 0.319 0.319 0.591
Sm 0.410 0.410 0.049
Sm 0.590 0.590 0.951
Sm 0.681 0.681 0.409
Sm 0.865 0.865 0.322
Sm 0.955 0.955 0.771
Tm 0.500 0.500 0.500

Summary:
Offset from the most stable computed form = 0.00 eV/f.u.
Electronic total energy = -4.69 eV per atom
Magnetic moment = 0.0 μB/f.u.
Crystal system = monoclinic
ΔE_f = 0.0171 eV per atom
Symmetry = C2/m (12)


A geometry-optimized H2Pd structure, computed with PBE-GGA.

Unit cell a=2.887 b=2.887 c=3.795 alpha=90.00 beta=90.00 gamma=120.00
Fractional coordinates of all 3 atoms:
H 0.333 0.667 0.200
H 0.667 0.333 0.800
Pd 0.000 0.000 0.000

Summary:
Electronic total energy = -3.95 eV per atom
Magnetic moment = 0.0 μB/f.u.
Crystal system = trigonal
Symmetry = P-3m1 (164)


A geometry-optimized HgBiPb2 structure, computed with PBE-GGA.

Unit cell a=5.149 b=5.149 c=4.593 alpha=90.00 beta=90.00 gamma=90.00
Fractional coordinates of all 4 atoms:
Hg 0.000 0.000 0.000
Bi 0.500 0.500 0.000
Pb 0.000 0.500 0.500
Pb 0.500 0.000 0.500

Summary:
Offset from the most stable computed form = 0.06 eV/f.u.
Electronic total energy = -2.87 eV per atom
Magnetic moment = 0.0 μB/f.u.
Crystal system = tetragonal
ΔE_f = 0.0269 eV per atom
Symmetry = P4/mmm (123)


A geometry-optimized ScAlIn structure, computed with PBE-GGA.

Unit cell a=10.461 b=8.955 c=6.704 alpha=82.49 beta=58.07 gamma=39.44
Fractional coordinates of all 12 atoms:
Sc 0.122 0.628 0.628
Sc 0.372 0.878 0.878
Sc 0.628 0.122 0.122
Sc 0.878 0.372 0.372
Al 0.000 0.000 0.000
Al 0.000 0.000 0.500
Al 0.000 0.500 0.000
Al 0.500 0.000 0.000
In 0.174 0.174 0.576
In 0.424 0.424 0.826
In 0.576 0.576 0.174
In 0.826 0.826 0.424

Summary:
Electronic total energy = -4.05 eV per atom
Magnetic moment = 0.2 μB/f.u.
Crystal system = orthorhombic
ΔE_f = 0.2185 eV per atom
Symmetry = Fddd (70)


A geometry-optimized LiSm3Ga3 structure, computed with PBE-GGA.

Unit cell a=5.848 b=5.848 c=14.771 alpha=109.16 beta=109.16 gamma=45.40
Fractional coordinates of all 14 atoms:
Li 0.247 0.247 0.403
Li 0.753 0.753 0.597
Sm 0.250 0.250 0.776
Sm 0.398 0.398 0.076
Sm 0.455 0.455 0.619
Sm 0.545 0.545 0.381
Sm 0.602 0.602 0.924
Sm 0.750 0.750 0.224
Ga 0.040 0.040 0.229
Ga 0.111 0.111 0.075
Ga 0.124 0.124 0.549
Ga 0.876 0.876 0.451
Ga 0.889 0.889 0.925
Ga 0.960 0.960 0.771

Summary:
Electronic total energy = -4.09 eV per atom
Magnetic moment = 0.0 μB/f.u.
Crystal system = monoclinic
ΔE_f = -0.4950 eV per atom
Symmetry = C2/m (12)


A geometry-optimized TlNiP2 structure, computed with PBE-GGA.

Unit cell a=3.653 b=3.653 c=5.197 alpha=90.00 beta=90.00 gamma=90.00
Fractional coordinates of all 4 atoms:
Tl 0.000 0.000 0.000
Ni 0.500 0.500 0.000
P 0.000 0.000 0.500
P 0.500 0.500 0.500

Summary:
Offset from the most stable computed form = 2.25 eV/f.u.
Electronic total energy = -4.30 eV per atom
Magnetic moment = 0.0 μB/f.u.
Crystal system = tetragonal
ΔE_f = 0.4423 eV per atom
Symmetry = P4/mmm (123)


A geometry-optimized GaPbBrN2 structure, computed with PBE-GGA.

Unit cell a=4.294 b=4.294 c=5.045 alpha=90.00 beta=90.00 gamma=90.00
Fractional coordinates of all 5 atoms:
Ga 0.000 0.000 0.000
Pb 0.500 0.500 0.000
Br 0.000 0.000 0.500
N 0.000 0.500 0.500
N 0.500 0.000 0.500

Summary:
Electronic total energy = -3.22 eV per atom
Magnetic moment = 0.0 μB/f.u.
Energy relative to the elements, uncorrected = 1787 meV/atom
Crystal system = tetragonal
Symmetry = P4/mmm (123)


A geometry-optimized PmSm5Bi4 structure, computed with PBE-GGA.

Unit cell a=9.970 b=9.970 c=8.727 alpha=105.96 beta=105.96 gamma=26.02
Fractional coordinates of all 10 atoms:
Pm 0.000 0.000 0.000
Sm 0.000 0.000 0.500
Sm 0.320 0.320 0.649
Sm 0.338 0.338 0.180
Sm 0.662 0.662 0.820
Sm 0.680 0.680 0.351
Bi 0.170 0.170 0.087
Bi 0.490 0.490 0.740
Bi 0.510 0.510 0.260
Bi 0.830 0.830 0.913

Summary:
Electronic total energy = -4.93 eV per atom
Magnetic moment = 0.0 μB/f.u.
Crystal system = monoclinic
ΔE_f = -0.5426 eV per atom
Symmetry = C2/m (12)


A geometry-optimized Be3CoOs structure, computed with PBE-GGA.

Unit cell a=4.134 b=4.134 c=4.134 alpha=90.00 beta=90.00 gamma=90.00
Fractional coordinates of all 5 atoms:
Be 0.000 0.000 0.500
Be 0.000 0.500 0.000
Be 0.500 0.000 0.000
Co 0.500 0.500 0.500
Os 0.000 0.000 0.000

Summary:
Offset from the most stable computed form = 1.42 eV/f.u.
Electronic total energy = -4.92 eV per atom
Magnetic moment = 2.0 μB/f.u.
Crystal system = cubic
ΔE_f = 0.9856 eV per atom
Symmetry = Pm-3m (221)


A geometry-optimized FeAs4 structure, computed with PBE-GGA.

Unit cell a=5.034 b=5.034 c=5.034 alpha=109.47 beta=109.47 gamma=109.47
Fractional coordinates of all 5 atoms:
Fe 0.000 0.000 0.000
As 0.000 0.000 0.500
As 0.000 0.500 0.000
As 0.500 0.000 0.000
As 0.500 0.500 0.500

Summary:
Electronic total energy = -5.10 eV per atom
Magnetic moment = 2.6 μB/f.u.
Crystal system = cubic
ΔE_f = 0.3131 eV per atom
Symmetry = Im-3m (229)


A geometry-optimized DyZnIrPd structure, computed with PBE-GGA.

Unit cell a=4.625 b=4.625 c=4.625 alpha=60.00 beta=60.00 gamma=60.00
Fractional coordinates of all 4 atoms:
Dy 0.000 0.000 0.000
Zn 0.500 0.500 0.500
Ir 0.250 0.250 0.250
Pd 0.750 0.750 0.750

Summary:
Electronic total energy = -5.58 eV per atom
Magnetic moment = 0.0 μB/f.u.
Crystal system = cubic
ΔE_f = -0.5975 eV per atom
Symmetry = F-43m (216)


A geometry-optimized LiErHgSb structure, computed with PBE-GGA.

Unit cell a=5.107 b=5.107 c=5.107 alpha=60.00 beta=60.00 gamma=60.00
Fractional coordinates of all 4 atoms:
Li 0.000 0.000 0.000
Er 0.500 0.500 0.500
Hg 0.250 0.250 0.250
Sb 0.750 0.750 0.750

Summary:
Electronic total energy = -3.25 eV per atom
Magnetic moment = 0.0 μB/f.u.
Energy relative to the elements, uncorrected = -524 meV/atom
Crystal system = cubic
Symmetry = F-43m (216)


A geometry-optimized DySnH structure, computed with PBE-GGA.

Unit cell a=5.931 b=3.622 c=11.222 alpha=90.00 beta=99.42 gamma=90.00
Fractional coordinates of all 12 atoms:
Dy 0.000 0.000 0.000
Dy 0.082 0.500 0.465
Dy 0.355 0.000 0.736
Dy 0.859 0.500 0.720
Sn 0.281 0.500 0.219
Sn 0.505 0.500 0.971
Sn 0.567 0.000 0.499
Sn 0.720 0.000 0.238
H 0.021 0.000 0.807
H 0.046 0.000 0.598
H 0.841 0.500 0.304
H 0.956 0.500 0.910

Summary:
Offset from the most stable computed form = 0.88 eV/f.u.
Electronic total energy = -4.31 eV per atom
Magnetic moment = 0.0 μB/f.u.
Crystal system = monoclinic
Symmetry = Pm (6)